Here is LaAsIr4 after structural relaxation from the Alexandria database. Energies are from PBE-GGA.

Geometry as extended XYZ:
```
6
Lattice="0.000 3.797 3.797 3.797 0.000 3.797 3.797 3.797 0.000" Properties=species:S:1:pos:R:3 pbc="T T T"
La 0.000 0.000 0.000
As 5.695 5.695 5.695
Ir 2.853 2.853 2.853
Ir 4.740 4.740 2.853
Ir 4.740 2.853 4.740
Ir 2.853 4.740 4.740
```

Output
**Energy**: -7.617 eV/atom
**Size of the total moment**: 0.0 Bohr magnetons per cell
**Formation enthalpy at 0 K**: -0.68 eV/f.u.